{"formula": "CrFeS3", "functional": "PBE-GGA", "state": "relaxed", "raw_formation_energy_mev_per_atom": 411, "polymorph_energy_mev_per_atom": 917, "total_energy_ev_per_fu": -28.4, "lattice_angstrom": [[4.503, 0.000, 0.000], [0.000, 4.503, 0.000], [0.000, 0.000, 4.503]], "species": ["S", "S", "S", "Fe", "Cr"], "fractional_positions": [[0.500, 0.000, 0.000], [0.000, 0.000, 0.500], [0.000, 0.500, 0.000], [0.000, 0.000, 0.000], [0.500, 0.500, 0.500]]}